The following is a DFT calculation (GGA-PBEsol) of an optimized crystal structure of CrSb2Ru.

Values from the calculation:
For the calculated volume, the calculation gives 73.0 Å³/f.u. The value obtained for the total moment is 3.73 μB per formula unit. The calculation puts the raw formation energy at 646 meV/atom. The calculation puts the excess energy over the best structure of this formula in the dataset at 1.82 eV per formula unit. The density of states at the Fermi level comes out at 3.18 states/eV/f.u.

a = 6.6347 Å, b = 6.6347 Å, c = 6.6347 Å
α = 90.00°, β = 90.00°, γ = 90.00°
Atoms (fractional coordinates):
Cr  0.0000  0.0000  0.0000
Cr  0.0000  0.5000  0.5000
Cr  0.5000  0.0000  0.5000
Cr  0.5000  0.5000  0.0000
Sb  0.0000  0.0000  0.5000
Sb  0.0000  0.5000  0.0000
Sb  0.2500  0.2500  0.7500
Sb  0.2500  0.7500  0.2500
Sb  0.5000  0.0000  0.0000
Sb  0.5000  0.5000  0.5000
Sb  0.7500  0.2500  0.2500
Sb  0.7500  0.7500  0.7500
Ru  0.2500  0.2500  0.2500
Ru  0.2500  0.7500  0.7500
Ru  0.7500  0.2500  0.7500
Ru  0.7500  0.7500  0.2500